VASP calculation (PBE) on a relaxed CsYS2O8 crystal.

Output
Symmetry: P-3 (147)
Total DFT energy (no corrections): -6.708 eV per atom
Raw formation energy: -2105 meV per atom
Theoretical density: 3.04 Mg/m³
Density of states at the Fermi level: 0.000 states/eV/f.u.

Cell lengths 5.418, 5.418, 8.897 Å; angles 90.00, 90.00, 120.00 degrees
Atoms (fractional coordinates):
Cs: 0.000 0.000 0.000
Y: 0.000 0.000 0.500
S: 0.333 0.667 0.713
S: 0.667 0.333 0.287
O: 0.130 0.376 0.653
O: 0.246 0.870 0.653
O: 0.333 0.667 0.877
O: 0.376 0.246 0.347
O: 0.624 0.754 0.653
O: 0.667 0.333 0.123
O: 0.754 0.130 0.347
O: 0.870 0.624 0.347